Record 1
CaAc2Cd9: optimized geometry, PBE.

```
CaAc2Cd9
1.0
-4.5956 3.5816 -2.1213
-1.5498 -0.1756 -6.0012
-8.4565 -5.9832 -0.8445
Ca Ac Cd
1 2 9
Direct
0.0000 0.0000 0.0000 Ca
0.8593 0.8593 0.4221 Ac
0.1407 0.1407 0.5779 Ac
0.6650 0.6650 0.0049 Cd
0.3350 0.3350 0.9951 Cd
0.5000 0.5000 0.5000 Cd
0.4148 0.4148 0.2468 Cd
0.9235 0.4148 0.2468 Cd
0.4148 0.9235 0.2468 Cd
0.5852 0.5852 0.7532 Cd
0.5852 0.0765 0.7532 Cd
0.0765 0.5852 0.7532 Cd
```

Summary:
The space-group type is R-3m. Its crystal system is trigonal. As for the energy of formation from the pure elements: -0.2292 eV per atom. The density of states at the Fermi level is 8.69 states/eV/cell. The value obtained for the spin magnetization is 0.00 μB/cell.

Record 2
Ca3Ac2Cd2: optimized geometry, PBE.

```
Ca3Ac2Cd2
1.0
5.5041 0.0000 0.0000
-2.7521 5.5503 -0.2344
0.0000 -2.8428 8.4570
Ca Ac Cd
3 2 2
Direct
0.5000 0.0000 0.0000 Ca
0.6388 0.2776 0.4408 Ca
0.3612 0.7224 0.5592 Ca
0.8822 0.7644 0.2261 Ac
0.1178 0.2356 0.7739 Ac
0.8234 0.6468 0.8135 Cd
0.1766 0.3532 0.1865 Cd
```

Summary:
The space-group type is C2/m. Its crystal system is monoclinic. As for the energy of formation from the pure elements: -0.1499 eV per atom. The density of states at the Fermi level is 7.39 states/eV/cell. The value obtained for the relative energy among the computed polymorphs is 0.00 eV/f.u. The value obtained for the spin magnetization is 0.00 μB/cell.

Record 3
CaAc4Cd5: optimized geometry, PBE.

```
CaAc4Cd5
1.0
-3.4927 -0.4282 1.9740
1.2630 -3.5401 1.4668
7.8856 9.4430 16.0003
Ca Ac Cd
1 4 5
Direct
0.0000 0.0000 0.0000 Ca
0.0000 0.0000 0.1935 Ac
0.0000 0.0000 0.3970 Ac
0.0000 0.0000 0.6030 Ac
0.0000 0.0000 0.8065 Ac
0.5000 0.5000 0.0894 Cd
0.5000 0.5000 0.2960 Cd
0.5000 0.5000 0.5000 Cd
0.5000 0.5000 0.7040 Cd
0.5000 0.5000 0.9106 Cd
```

Summary:
The space-group type is P4/mmm. Its crystal system is tetragonal. As for the energy of formation from the pure elements: -0.3084 eV per atom. The density of states at the Fermi level is 10.54 states/eV/cell. The value obtained for the spin magnetization is 0.00 μB/cell.

Record 4
Ca3AcCd2: optimized geometry, PBE.

```
Ca3AcCd2
1.0
5.2882 0.0000 0.0000
0.0000 7.6525 0.0000
0.0000 0.0000 10.1619
Ca Ac Cd
6 2 4
Direct
0.0000 0.4669 0.9349 Ca
0.0000 0.9669 0.0651 Ca
0.5000 0.6578 0.1814 Ca
0.5000 0.1578 0.8186 Ca
0.0000 0.3438 0.3055 Ca
0.0000 0.8438 0.6945 Ca
0.5000 0.5349 0.5582 Ac
0.5000 0.0349 0.4418 Ac
0.5000 0.7350 0.8704 Cd
0.5000 0.2350 0.1296 Cd
0.0000 0.2617 0.6308 Cd
0.0000 0.7617 0.3692 Cd
```

Summary:
The space-group type is Pmc2_1. Its crystal system is orthorhombic. As for the energy of formation from the pure elements: -0.2255 eV per atom. The density of states at the Fermi level is 12.58 states/eV/cell. The value obtained for the spin magnetization is 0.00 μB/cell.

- Which value of energy of formation from the pure elements does entry 3 give?
  -0.3084 eV per atom

Repeat the second record exactly.
Ca3Ac2Cd2: optimized geometry, PBE.

```
Ca3Ac2Cd2
1.0
5.5041 0.0000 0.0000
-2.7521 5.5503 -0.2344
0.0000 -2.8428 8.4570
Ca Ac Cd
3 2 2
Direct
0.5000 0.0000 0.0000 Ca
0.6388 0.2776 0.4408 Ca
0.3612 0.7224 0.5592 Ca
0.8822 0.7644 0.2261 Ac
0.1178 0.2356 0.7739 Ac
0.8234 0.6468 0.8135 Cd
0.1766 0.3532 0.1865 Cd
```

Summary:
The space-group type is C2/m. Its crystal system is monoclinic. As for the energy of formation from the pure elements: -0.1499 eV per atom. The density of states at the Fermi level is 7.39 states/eV/cell. The value obtained for the relative energy among the computed polymorphs is 0.00 eV/f.u. The value obtained for the spin magnetization is 0.00 μB/cell.

- Which formula does entry 3 have?
  CaAc4Cd5